(1)
Ta4TcBr: relaxed, PBE.

Computed properties:
**Formation energy without anion corrections**: 0.864 eV per atom
**DFT total energy**: -9.04 eV/atom
**V**: 19.140 Å³/atom

Cell lengths 5.456, 5.456, 5.456 Å; angles 60.00, 60.00, 60.00 degrees
Sites, in units of the cell vectors:
Ta 0.124 0.124 0.124
Ta 0.124 0.124 0.627
Ta 0.124 0.627 0.124
Ta 0.627 0.124 0.124
Tc 0.750 0.750 0.750
Br 0.500 0.500 0.500



(2)
TaTcBr3: relaxed, PBE.

Computed properties:
**Formation energy without anion corrections**: 0.924 eV per atom
**DFT total energy**: -4.52 eV/atom
**V**: 27.841 Å³/atom

Cell lengths 5.183, 5.183, 5.183 Å; angles 90.00, 90.00, 90.00 degrees
Sites, in units of the cell vectors:
Ta 0.000 0.000 0.000
Tc 0.500 0.500 0.500
Br 0.000 0.000 0.500
Br 0.000 0.500 0.000
Br 0.500 0.000 0.000



(3)
TaTcBr2: relaxed, PBE.

Computed properties:
**Formation energy without anion corrections**: 1.005 eV per atom
**DFT total energy**: -5.39 eV/atom
**V**: 19.044 Å³/atom

Cell lengths 6.729, 6.729, 6.729 Å; angles 90.00, 90.00, 90.00 degrees
Sites, in units of the cell vectors:
Ta 0.000 0.000 0.000
Ta 0.000 0.500 0.500
Ta 0.500 0.000 0.500
Ta 0.500 0.500 0.000
Tc 0.250 0.250 0.250
Tc 0.250 0.750 0.750
Tc 0.750 0.250 0.750
Tc 0.750 0.750 0.250
Br 0.000 0.000 0.500
Br 0.000 0.500 0.000
Br 0.250 0.250 0.750
Br 0.250 0.750 0.250
Br 0.500 0.000 0.000
Br 0.500 0.500 0.500
Br 0.750 0.250 0.250
Br 0.750 0.750 0.750



(4)
TaTcBr3: relaxed, PBE.

Computed properties:
**Formation energy without anion corrections**: 1.191 eV per atom
**DFT total energy**: -4.26 eV/atom
**V**: 26.723 Å³/atom

Cell lengths 5.112, 5.112, 5.112 Å; angles 90.00, 90.00, 90.00 degrees
Sites, in units of the cell vectors:
Ta 0.000 0.000 0.000
Tc 0.500 0.500 0.500
Br 0.000 0.500 0.500
Br 0.500 0.000 0.500
Br 0.500 0.500 0.000